# 1
Compound: PrTlI
Source: Alexandria via LeMat-Bulk
Functional: PBE-GGA
Structure: optimized geometry

V   699.63 Å³ per cell
ΔE_f (raw)   -0.835 eV per atom

Cell lengths 4.7298, 4.7298, 36.1122 Å; angles 90.00, 90.00, 120.00 degrees
Space group R-3m (No. 166, hexagonal axes)
Asymmetric unit:
Pr: 0.0000 0.0000 0.0608 x6
Tl: 0.0000 0.0000 0.3494 x6
I: 0.0000 0.0000 0.2200 x6

***

# 2
Compound: U2PaIr
Source: Alexandria via LeMat-Bulk
Functional: PBE-GGA
Structure: optimized geometry

V   241.54 Å³ per cell
ΔH_f (0 K)   -0.1047 eV per atom

Cell lengths 4.9185, 4.9185, 11.5294 Å; angles 90.00, 90.00, 120.00 degrees
Space group R-3m (No. 166, hexagonal axes)
Asymmetric unit:
U: 0.0000 0.0000 0.2420 x6
Pa: 0.0000 0.0000 0.0000 x3
Ir: 0.0000 0.0000 0.5000 x3